No. 1
This record from Alexandria via LeMat-Bulk describes an optimized crystal structure of Ta2CuSi. The functional is GGA-PBE.

Summary:
**Volume**: 15.3 Å³/atom
**Crystal system**: orthorhombic
**Magnetization**: 0.00 μB/atom
**Formation energy from raw total energies**: -0.323 eV/atom

```
Ta2CuSi
1.0
3.650 0.000 0.000
0.000 3.436 0.005
0.000 1.716 4.878
Ta Cu Si
2 1 1
direct
0.000 0.966 0.944 Ta
0.500 0.283 0.309 Ta
0.000 0.696 0.483 Cu
0.500 0.555 0.765 Si
```


No. 2
This record from Alexandria via LeMat-Bulk describes an optimized crystal structure of BeReAs2. The functional is GGA-PBE.

Summary:
**VASP energy**: -0.441 Ry per atom
**Volume**: 14.1 Å³/atom
**Crystal system**: orthorhombic
**Magnetization**: 0.00 μB/atom

```
BeReAs2
1.0
4.702 -0.001 -0.001
1.361 4.500 0.001
-2.523 -2.935 2.670
Re As Be
1 2 1
direct
0.250 0.750 0.500 Re
0.539 0.539 0.000 As
0.961 0.961 0.000 As
0.750 0.250 0.500 Be
```


No. 3
This record from Alexandria via LeMat-Bulk describes an optimized crystal structure of CsLaRhO4. The functional is GGA-PBE.

Summary:
**Volume**: 20.7 Å³/atom
**Crystal system**: monoclinic
**Magnetization**: 0.14 μB/atom
**Formation energy from raw total energies**: -1.707 eV/atom

```
CsLaRhO4
1.0
-4.852 -2.747 2.603
0.853 -4.569 -3.233
9.391 -0.703 3.471
La O Rh Cs
2 8 2 2
direct
0.237 0.250 0.523 La
0.763 0.750 0.477 La
0.299 0.750 0.215 O
0.109 0.021 0.675 O
0.421 0.750 0.533 O
0.891 0.521 0.325 O
0.109 0.479 0.675 O
0.579 0.250 0.467 O
0.701 0.250 0.785 O
0.891 0.979 0.325 O
0.118 0.750 0.312 Rh
0.882 0.250 0.688 Rh
0.388 0.250 0.119 Cs
0.612 0.750 0.881 Cs
```